An optimized crystal structure of Li4Nb3V3Cr2O16. Source: Alexandria, functional PBE+U.

abc: 6.042 6.042 9.804
angles: 89.13 89.13 60.08
Site moments in Bohr magnetons follow the coordinates.
Positions (direct):
V1 0.833 0.341 0.213  1.87
V2 0.172 0.172 0.713  2.41
V3 0.341 0.833 0.213  1.87
O1 0.524 0.960 0.342  -0.02
O2 0.041 0.485 0.849  -0.03
O3 0.160 0.670 0.103  -0.02
O4 0.998 0.998 0.314  0.01
O5 0.820 0.330 0.600  -0.02
O6 0.995 0.995 0.811  0.04
O7 0.330 0.820 0.600  -0.02
O8 0.670 0.160 0.103  -0.02
O9 0.483 0.483 0.847  0.01
O10 0.960 0.524 0.342  -0.02
O11 0.521 0.521 0.336  -0.05
O12 0.334 0.334 0.585  0.03
O13 0.485 0.041 0.849  -0.03
O14 0.828 0.828 0.604  0.00
O15 0.163 0.163 0.102  -0.06
O16 0.674 0.674 0.101  0.01
Nb1 0.832 0.832 0.214  0.08
Nb2 0.172 0.648 0.711  0.54
Nb3 0.648 0.172 0.711  0.54
Li1 0.008 0.008 0.994  0.00
Li2 0.668 0.668 0.900  0.01
Li3 0.011 0.011 0.496  0.00
Li4 0.336 0.336 0.386  0.01
Cr1 0.661 0.661 0.481  3.08
Cr2 0.331 0.331 0.990  3.06

## Properties
Its energy is -7.71 eV/atom. Its crystal system is monoclinic. The value obtained for the volume is 11.08 A^3/atom. Its total moment is 14.01 μB per formula unit. As for the symmetry: Cm (8).